Run A
Below is Dy4YHo7 after structural relaxation, with properties calculated at the PBE level.

The structure in CIF format:
```
data_Dy4YHo7
_symmetry_space_group_name_H-M 'P -1'
_symmetry_Int_Tables_number 2
_cell_length_a 6.472
_cell_length_b 6.767
_cell_length_c 8.991
_cell_angle_alpha 85.83
_cell_angle_beta 76.85
_cell_angle_gamma 81.91
loop_
_symmetry_equiv_pos_as_xyz
'x,y,z'
'-x,-y,-z'
loop_
_atom_site_label
_atom_site_type_symbol
_atom_site_fract_x
_atom_site_fract_y
_atom_site_fract_z
_atom_site_occupancy
Dy1 Dy 0.139 0.305 0.285 1
Dy2 Dy 0.340 0.885 0.689 1
Y1 Y 0.500 0.500 0.000 1
Ho1 Ho 0.015 0.251 0.948 1
Ho2 Ho 0.185 0.798 0.359 1
Ho3 Ho 0.309 0.394 0.613 1
Ho4 Ho 0.500 0.000 0.000 1
```

=====

Run B
Below is Dy4YHo7 after structural relaxation, with properties calculated at the PBE level.

The structure in CIF format:
```
data_Dy4YHo7
_symmetry_space_group_name_H-M 'C 1 2/m 1'
_symmetry_Int_Tables_number 12
_cell_length_a 12.017
_cell_length_b 5.837
_cell_length_c 12.623
_cell_angle_alpha 90.00
_cell_angle_beta 118.30
_cell_angle_gamma 90.00
loop_
_symmetry_equiv_pos_as_xyz
'x,y,z'
'-x,-y,-z'
'-x,y,-z'
'x,-y,z'
'x+1/2,y+1/2,z'
'-x+1/2,-y+1/2,-z'
'-x+1/2,y+1/2,-z'
'x+1/2,-y+1/2,z'
loop_
_atom_site_label
_atom_site_type_symbol
_atom_site_fract_x
_atom_site_fract_y
_atom_site_fract_z
_atom_site_occupancy
Dy1 Dy 0.136 0.000 0.275 1
Dy2 Dy 0.246 0.500 0.182 1
Y1 Y 0.000 0.500 0.500 1
Ho1 Ho 0.000 0.000 0.500 1
Ho2 Ho 0.060 0.500 0.824 1
Ho3 Ho 0.134 0.000 0.001 1
Ho4 Ho 0.213 0.500 0.423 1
```

=====

Top of the stability list: run A, leading by 202 meV/atom.

=====

Run A
Below is Dy2Y7Ho after structural relaxation, with properties calculated at the PBE level.

The structure in CIF format:
```
data_Dy2Y7Ho
_symmetry_space_group_name_H-M 'C 1 2/m 1'
_symmetry_Int_Tables_number 12
_cell_length_a 6.174
_cell_length_b 29.703
_cell_length_c 3.506
_cell_angle_alpha 90.00
_cell_angle_beta 90.39
_cell_angle_gamma 90.00
loop_
_symmetry_equiv_pos_as_xyz
'x,y,z'
'-x,-y,-z'
'-x,y,-z'
'x,-y,z'
'x+1/2,y+1/2,z'
'-x+1/2,-y+1/2,-z'
'-x+1/2,y+1/2,-z'
'x+1/2,-y+1/2,z'
loop_
_atom_site_label
_atom_site_type_symbol
_atom_site_fract_x
_atom_site_fract_y
_atom_site_fract_z
_atom_site_occupancy
Dy1 Dy 0.000 0.192 0.000 1
Y1 Y 0.000 0.293 0.500 1
Y2 Y 0.000 0.500 0.000 1
Y3 Y 0.246 0.400 0.268 1
Ho1 Ho 0.000 0.000 0.500 1
```

=====

Run B
Below is Dy2Y7Ho after structural relaxation, with properties calculated at the PBE level.

The structure in CIF format:
```
data_Dy2Y7Ho
_symmetry_space_group_name_H-M 'C m m m'
_symmetry_Int_Tables_number 65
_symmetry_space_group_name_Hall '-C 2 2'
_cell_length_a 8.786
_cell_length_b 16.091
_cell_length_c 5.586
_cell_angle_alpha 90.00
_cell_angle_beta 90.00
_cell_angle_gamma 90.00
loop_
_atom_site_label
_atom_site_type_symbol
_atom_site_fract_x
_atom_site_fract_y
_atom_site_fract_z
_atom_site_occupancy
Dy1 Dy 0.000 0.204 0.000 1
Y1 Y 0.000 0.000 0.000 1
Y2 Y 0.000 0.283 0.500 1
Y3 Y 0.177 0.386 0.000 1
Ho1 Ho 0.000 0.500 0.500 1
```

=====

Top of the stability list: run A, leading by 584 meV/atom.

=====

Run A
Below is Dy5Y4Ho3 after structural relaxation, with properties calculated at the PBE level.

The structure in CIF format:
```
data_Dy5Y4Ho3
_symmetry_space_group_name_H-M 'P -1'
_symmetry_Int_Tables_number 2
_cell_length_a 6.142
_cell_length_b 7.099
_cell_length_c 8.681
_cell_angle_alpha 89.98
_cell_angle_beta 89.93
_cell_angle_gamma 89.90
loop_
_symmetry_equiv_pos_as_xyz
'x,y,z'
'-x,-y,-z'
loop_
_atom_site_label
_atom_site_type_symbol
_atom_site_fract_x
_atom_site_fract_y
_atom_site_fract_z
_atom_site_occupancy
Dy1 Dy 0.000 0.000 0.000 1
Dy2 Dy 0.334 0.500 0.667 1
Dy3 Dy 0.499 0.749 0.001 1
Y1 Y 0.166 0.251 0.333 1
Y2 Y 0.333 0.000 0.667 1
Ho1 Ho 0.000 0.500 0.000 1
Ho2 Ho 0.167 0.749 0.333 1
```

=====

Run B
Below is Dy5Y4Ho3 after structural relaxation, with properties calculated at the PBE level.

The structure in CIF format:
```
data_Dy5Y4Ho3
_symmetry_space_group_name_H-M 'C 1 2/m 1'
_symmetry_Int_Tables_number 12
_cell_length_a 16.039
_cell_length_b 5.865
_cell_length_c 9.273
_cell_angle_alpha 90.00
_cell_angle_beta 116.87
_cell_angle_gamma 90.00
loop_
_symmetry_equiv_pos_as_xyz
'x,y,z'
'-x,-y,-z'
'-x,y,-z'
'x,-y,z'
'x+1/2,y+1/2,z'
'-x+1/2,-y+1/2,-z'
'-x+1/2,y+1/2,-z'
'x+1/2,-y+1/2,z'
loop_
_atom_site_label
_atom_site_type_symbol
_atom_site_fract_x
_atom_site_fract_y
_atom_site_fract_z
_atom_site_occupancy
Dy1 Dy 0.000 0.000 0.000 1
Dy2 Dy 0.074 0.500 0.701 1
Dy3 Dy 0.173 0.500 0.385 1
Y1 Y 0.080 0.000 0.438 1
Y2 Y 0.214 0.000 0.878 1
Ho1 Ho 0.000 0.500 0.000 1
Ho2 Ho 0.210 0.000 0.232 1
```

=====

Top of the stability list: run A, leading by 216 meV/atom.

=====

Run A
Below is Dy3Y5Ho4 after structural relaxation, with properties calculated at the PBE level.

The structure in CIF format:
```
data_Dy3Y5Ho4
_symmetry_space_group_name_H-M 'C 1 2/m 1'
_symmetry_Int_Tables_number 12
_cell_length_a 16.070
_cell_length_b 5.853
_cell_length_c 9.234
_cell_angle_alpha 90.00
_cell_angle_beta 116.46
_cell_angle_gamma 90.00
loop_
_symmetry_equiv_pos_as_xyz
'x,y,z'
'-x,-y,-z'
'-x,y,-z'
'x,-y,z'
'x+1/2,y+1/2,z'
'-x+1/2,-y+1/2,-z'
'-x+1/2,y+1/2,-z'
'x+1/2,-y+1/2,z'
loop_
_atom_site_label
_atom_site_type_symbol
_atom_site_fract_x
_atom_site_fract_y
_atom_site_fract_z
_atom_site_occupancy
Dy1 Dy 0.000 0.000 0.000 1
Dy2 Dy 0.208 0.500 0.230 1
Y1 Y 0.000 0.500 0.000 1
Y2 Y 0.075 0.000 0.702 1
Y3 Y 0.173 0.000 0.387 1
Ho1 Ho 0.081 0.500 0.441 1
Ho2 Ho 0.214 0.500 0.879 1
```

=====

Run B
Below is Dy3Y5Ho4 after structural relaxation, with properties calculated at the PBE level.

The structure in CIF format:
```
data_Dy3Y5Ho4
_symmetry_space_group_name_H-M 'P -1'
_symmetry_Int_Tables_number 2
_cell_length_a 6.145
_cell_length_b 7.100
_cell_length_c 8.683
_cell_angle_alpha 90.00
_cell_angle_beta 89.90
_cell_angle_gamma 89.89
loop_
_symmetry_equiv_pos_as_xyz
'x,y,z'
'-x,-y,-z'
loop_
_atom_site_label
_atom_site_type_symbol
_atom_site_fract_x
_atom_site_fract_y
_atom_site_fract_z
_atom_site_occupancy
Dy1 Dy 0.000 0.000 0.000 1
Dy2 Dy 0.166 0.251 0.333 1
Y1 Y 0.000 0.500 0.000 1
Y2 Y 0.332 0.000 0.666 1
Y3 Y 0.500 0.250 0.000 1
Ho1 Ho 0.166 0.749 0.333 1
Ho2 Ho 0.334 0.500 0.665 1
```

=====

Top of the stability list: run B, leading by 220 meV/atom.

=====

Run A
Below is DyYHo4 after structural relaxation, with properties calculated at the PBE level.

The structure in CIF format:
```
data_DyYHo4
_symmetry_space_group_name_H-M 'F -4 3 m'
_symmetry_Int_Tables_number 216
_symmetry_space_group_name_Hall 'F -4 2 3'
_cell_length_a 9.243
_cell_length_b 9.243
_cell_length_c 9.243
_cell_angle_alpha 90.00
_cell_angle_beta 90.00
_cell_angle_gamma 90.00
loop_
_atom_site_label
_atom_site_type_symbol
_atom_site_fract_x
_atom_site_fract_y
_atom_site_fract_z
_atom_site_occupancy
Dy1 Dy 0.000 0.000 0.000 1
Y1 Y 0.250 0.250 0.750 1
Ho1 Ho 0.125 0.125 0.375 1
```

=====

Run B
Below is DyYHo4 after structural relaxation, with properties calculated at the PBE level.

The structure in CIF format:
```
data_DyYHo4
_symmetry_space_group_name_H-M 'P -1'
_symmetry_Int_Tables_number 2
_cell_length_a 3.530
_cell_length_b 6.130
_cell_length_c 9.356
_cell_angle_alpha 77.23
_cell_angle_beta 79.24
_cell_angle_gamma 73.35
loop_
_symmetry_equiv_pos_as_xyz
'x,y,z'
'-x,-y,-z'
loop_
_atom_site_label
_atom_site_type_symbol
_atom_site_fract_x
_atom_site_fract_y
_atom_site_fract_z
_atom_site_occupancy
Dy1 Dy 0.000 0.000 0.000 1
Y1 Y 0.000 0.500 0.500 1
Ho1 Ho 0.333 0.002 0.333 1
Ho2 Ho 0.333 0.499 0.834 1
```

=====

Top of the stability list: run B, leading by 231 meV/atom.

=====

Run A
Below is Dy4Y2Ho5 after structural relaxation, with properties calculated at the PBE level.

The structure in CIF format:
```
data_Dy4Y2Ho5
_symmetry_space_group_name_H-M 'P -1'
_symmetry_Int_Tables_number 2
_cell_length_a 3.534
_cell_length_b 8.674
_cell_length_c 11.741
_cell_angle_alpha 75.86
_cell_angle_beta 81.41
_cell_angle_gamma 89.99
loop_
_symmetry_equiv_pos_as_xyz
'x,y,z'
'-x,-y,-z'
loop_
_atom_site_label
_atom_site_type_symbol
_atom_site_fract_x
_atom_site_fract_y
_atom_site_fract_z
_atom_site_occupancy
Dy1 Dy 0.046 0.362 0.408 1
Dy2 Dy 0.318 0.545 0.864 1
Y1 Y 0.409 0.272 0.682 1
Ho1 Ho 0.136 0.092 0.227 1
Ho2 Ho 0.228 0.819 0.044 1
Ho3 Ho 0.500 0.000 0.500 1
```

=====

Run B
Below is Dy4Y2Ho5 after structural relaxation, with properties calculated at the PBE level.

The structure in CIF format:
```
data_Dy4Y2Ho5
_symmetry_space_group_name_H-M 'C 1 2/m 1'
_symmetry_Int_Tables_number 12
_cell_length_a 16.443
_cell_length_b 6.615
_cell_length_c 6.615
_cell_angle_alpha 90.00
_cell_angle_beta 100.21
_cell_angle_gamma 90.00
loop_
_symmetry_equiv_pos_as_xyz
'x,y,z'
'-x,-y,-z'
'-x,y,-z'
'x,-y,z'
'x+1/2,y+1/2,z'
'-x+1/2,-y+1/2,-z'
'-x+1/2,y+1/2,-z'
'x+1/2,-y+1/2,z'
loop_
_atom_site_label
_atom_site_type_symbol
_atom_site_fract_x
_atom_site_fract_y
_atom_site_fract_z
_atom_site_occupancy
Dy1 Dy 0.089 0.000 0.404 1
Dy2 Dy 0.245 0.500 0.815 1
Y1 Y 0.201 0.500 0.303 1
Ho1 Ho 0.000 0.500 0.500 1
Ho2 Ho 0.088 0.238 0.903 1
```

=====

Top of the stability list: run A, leading by 151 meV/atom.

=====

Run A
Below is Dy4Y2Ho after structural relaxation, with properties calculated at the PBE level.

The structure in CIF format:
```
data_Dy4Y2Ho
_symmetry_space_group_name_H-M 'P 3 m 1'
_symmetry_Int_Tables_number 156
_cell_length_a 3.5797
_cell_length_b 3.5797
_cell_length_c 19.9908
_cell_angle_alpha 90.00
_cell_angle_beta 90.00
_cell_angle_gamma 120.00
loop_
_symmetry_equiv_pos_as_xyz
'x,y,z'
'-y,x-y,z'
'-x+y,-x,z'
'-y,-x,z'
'-x+y,y,z'
'x,x-y,z'
loop_
_atom_site_label
_atom_site_type_symbol
_atom_site_fract_x
_atom_site_fract_y
_atom_site_fract_z
_atom_site_occupancy
Dy1 Dy 0.0000 0.0000 0.0000 1
Dy2 Dy 0.0000 0.0000 0.2830 1
Dy3 Dy 0.6667 0.3333 0.4266 1
Dy4 Dy 0.6667 0.3333 0.7129 1
Y1 Y 0.3333 0.6667 0.5704 1
Y2 Y 0.3333 0.6667 0.8564 1
Ho1 Ho 0.3333 0.6667 0.1409 1
```

=====

Run B
Below is Dy4Y2Ho after structural relaxation, with properties calculated at the PBE level.

The structure in CIF format:
```
data_Dy4Y2Ho
_symmetry_space_group_name_H-M 'P 1 21/m 1'
_symmetry_Int_Tables_number 11
_cell_length_a 6.230
_cell_length_b 6.485
_cell_length_c 11.476
_cell_angle_alpha 90.00
_cell_angle_beta 105.73
_cell_angle_gamma 90.00
loop_
_symmetry_equiv_pos_as_xyz
'x,y,z'
'-x,-y,-z'
'-x,y+1/2,-z'
'x,-y+1/2,z'
loop_
_atom_site_label
_atom_site_type_symbol
_atom_site_fract_x
_atom_site_fract_y
_atom_site_fract_z
_atom_site_occupancy
Dy1 Dy 0.034 0.250 0.362 1
Dy2 Dy 0.140 0.250 0.947 1
Dy3 Dy 0.343 0.504 0.213 1
Y1 Y 0.297 0.750 0.926 1
Y2 Y 0.387 0.750 0.504 1
Ho1 Ho 0.165 0.250 0.664 1
```

=====

Top of the stability list: run A, leading by 128 meV/atom.

=====

Run A
Below is Dy7Y2Ho after structural relaxation, with properties calculated at the PBE level.

The structure in CIF format:
```
data_Dy7Y2Ho
_symmetry_space_group_name_H-M 'C m m m'
_symmetry_Int_Tables_number 65
_symmetry_space_group_name_Hall '-C 2 2'
_cell_length_a 8.560
_cell_length_b 17.668
_cell_length_c 5.087
_cell_angle_alpha 90.00
_cell_angle_beta 90.00
_cell_angle_gamma 90.00
loop_
_atom_site_label
_atom_site_type_symbol
_atom_site_fract_x
_atom_site_fract_y
_atom_site_fract_z
_atom_site_occupancy
Dy1 Dy 0.000 0.000 0.000 1
Dy2 Dy 0.000 0.308 0.500 1
Dy3 Dy 0.181 0.395 0.000 1
Y1 Y 0.000 0.204 0.000 1
Ho1 Ho 0.000 0.500 0.500 1
```

=====

Run B
Below is Dy7Y2Ho after structural relaxation, with properties calculated at the PBE level.

The structure in CIF format:
```
data_Dy7Y2Ho
_symmetry_space_group_name_H-M 'C m m m'
_symmetry_Int_Tables_number 65
_symmetry_space_group_name_Hall '-C 2 2'
_cell_length_a 6.424
_cell_length_b 29.168
_cell_length_c 3.442
_cell_angle_alpha 90.00
_cell_angle_beta 90.00
_cell_angle_gamma 90.00
loop_
_atom_site_label
_atom_site_type_symbol
_atom_site_fract_x
_atom_site_fract_y
_atom_site_fract_z
_atom_site_occupancy
Dy1 Dy 0.000 0.000 0.000 1
Dy2 Dy 0.000 0.187 0.500 1
Dy3 Dy 0.242 0.401 0.000 1
Y1 Y 0.000 0.292 0.000 1
Ho1 Ho 0.000 0.500 0.500 1
```

=====

Top of the stability list: run B, leading by 494 meV/atom.

=====

Run A
Below is DyY2Ho9 after structural relaxation, with properties calculated at the PBE level.

The structure in CIF format:
```
data_DyY2Ho9
_symmetry_space_group_name_H-M 'P 6/m m m'
_symmetry_Int_Tables_number 191
_symmetry_space_group_name_Hall '-P 6 2'
_cell_length_a 11.1809
_cell_length_b 11.1809
_cell_length_c 3.4770
_cell_angle_alpha 90.00
_cell_angle_beta 90.00
_cell_angle_gamma 120.00
loop_
_atom_site_label
_atom_site_type_symbol
_atom_site_fract_x
_atom_site_fract_y
_atom_site_fract_z
_atom_site_occupancy
Dy1 Dy 0.0000 0.0000 0.0000 1
Y1 Y 0.3333 0.6667 0.0000 1
Ho1 Ho 0.0000 0.5000 0.0000 1
Ho2 Ho 0.1757 0.3514 0.5000 1
```

=====

Run B
Below is DyY2Ho9 after structural relaxation, with properties calculated at the PBE level.

The structure in CIF format:
```
data_DyY2Ho9
_symmetry_space_group_name_H-M 'P 4/m m m'
_symmetry_Int_Tables_number 123
_symmetry_space_group_name_Hall '-P 4 2'
_cell_length_a 4.999
_cell_length_b 4.999
_cell_length_c 15.001
_cell_angle_alpha 90.00
_cell_angle_beta 90.00
_cell_angle_gamma 90.00
loop_
_atom_site_label
_atom_site_type_symbol
_atom_site_fract_x
_atom_site_fract_y
_atom_site_fract_z
_atom_site_occupancy
Dy1 Dy 0.000 0.000 0.000 1
Y1 Y 0.000 0.000 0.333 1
Ho1 Ho 0.000 0.500 0.166 1
Ho2 Ho 0.000 0.500 0.500 1
Ho3 Ho 0.500 0.500 0.000 1
Ho4 Ho 0.500 0.500 0.333 1
```

=====

Top of the stability list: run B, leading by 36 meV/atom.

=====

Run A
Below is Dy2Y7Ho3 after structural relaxation, with properties calculated at the PBE level.

The structure in CIF format:
```
data_Dy2Y7Ho3
_symmetry_space_group_name_H-M 'P 1 2/m 1'
_symmetry_Int_Tables_number 10
_cell_length_a 5.785
_cell_length_b 3.577
_cell_length_c 18.652
_cell_angle_alpha 90.00
_cell_angle_beta 93.58
_cell_angle_gamma 90.00
loop_
_symmetry_equiv_pos_as_xyz
'x,y,z'
'-x,-y,-z'
'-x,y,-z'
'x,-y,z'
loop_
_atom_site_label
_atom_site_type_symbol
_atom_site_fract_x
_atom_site_fract_y
_atom_site_fract_z
_atom_site_occupancy
Dy1 Dy 0.206 0.000 0.295 1
Y1 Y 0.181 0.500 0.144 1
Y2 Y 0.242 0.000 0.463 1
Y3 Y 0.315 0.000 0.820 1
Y4 Y 0.500 0.500 0.000 1
Ho1 Ho 0.000 0.000 0.000 1
Ho2 Ho 0.281 0.500 0.633 1
```

=====

Run B
Below is Dy2Y7Ho3 after structural relaxation, with properties calculated at the PBE level.

The structure in CIF format:
```
data_Dy2Y7Ho3
_symmetry_space_group_name_H-M 'P 1 2/m 1'
_symmetry_Int_Tables_number 10
_cell_length_a 6.329
_cell_length_b 3.513
_cell_length_c 17.431
_cell_angle_alpha 90.00
_cell_angle_beta 96.08
_cell_angle_gamma 90.00
loop_
_symmetry_equiv_pos_as_xyz
'x,y,z'
'-x,-y,-z'
'-x,y,-z'
'x,-y,z'
loop_
_atom_site_label
_atom_site_type_symbol
_atom_site_fract_x
_atom_site_fract_y
_atom_site_fract_z
_atom_site_occupancy
Dy1 Dy 0.061 0.000 0.173 1
Y1 Y 0.000 0.500 0.500 1
Y2 Y 0.225 0.000 0.669 1
Y3 Y 0.255 0.000 0.998 1
Y4 Y 0.275 0.500 0.334 1
Ho1 Ho 0.450 0.500 0.842 1
Ho2 Ho 0.500 0.000 0.500 1
```

=====

Top of the stability list: run B, leading by 10 meV/atom.